(1)
! AcFeSi, relaxed, DFT PBE; values from VASP
&SYSTEM
  ibrav = 0, nat = 3, ntyp = 3
/
ATOMIC_SPECIES
Fe 55.84 Fe.upf
Ac 227.00 Ac.upf
Si 28.09 Si.upf
CELL_PARAMETERS angstrom
0.0000 3.2634 3.2634
3.2634 0.0000 3.2634
3.2634 3.2634 0.0000
ATOMIC_POSITIONS crystal
Fe 0.2500 0.2500 0.2500
Ac 0.0000 0.0000 0.0000
Si 0.5000 0.5000 0.5000
! E, eV/cell: -17.44
! Space group: No. 216

(2)
! GaPt15, relaxed, DFT PBE; values from VASP
&SYSTEM
  ibrav = 0, nat = 32, ntyp = 2
/
ATOMIC_SPECIES
Pt 195.08 Pt.upf
Ga 69.72 Ga.upf
CELL_PARAMETERS angstrom
4.8160 0.0000 0.0000
0.0000 36.7711 0.0000
-1.6444 0.0000 4.5285
ATOMIC_POSITIONS crystal
Pt 0.0000 0.5580 0.7500
Pt 0.5000 0.3640 0.7500
Pt 0.0000 0.4031 0.7500
Pt 0.0000 0.2442 0.7500
Pt 0.5000 0.2111 0.7500
Pt 0.0000 0.7132 0.7500
Pt 0.5000 0.7558 0.7500
Pt 0.0000 0.3252 0.7500
Pt 0.5000 0.5969 0.7500
Pt 0.0000 0.3645 0.2500
Pt 0.0000 0.7558 0.2500
Pt 0.5000 0.3251 0.2500
Pt 0.0000 0.4806 0.7500
Pt 0.0000 0.5969 0.2500
Pt 0.0000 0.5194 0.2500
Pt 0.0000 0.2868 0.2500
Pt 0.5000 0.4807 0.2500
Pt 0.0000 0.4420 0.2500
Pt 0.0000 0.6355 0.7500
Pt 0.5000 0.6749 0.7500
Pt 0.5000 0.7889 0.2500
Pt 0.5000 0.4416 0.7500
Pt 0.5000 0.5584 0.2500
Pt 0.5000 0.4031 0.2500
Pt 0.0000 0.6748 0.2500
Pt 0.5000 0.2442 0.2500
Pt 0.5000 0.6360 0.2500
Pt 0.5000 0.5193 0.7500
Pt 0.5000 0.7138 0.2500
Pt 0.5000 0.2862 0.7500
Ga 0.0000 0.7859 0.7500
Ga 0.0000 0.2141 0.2500
! E, eV/cell: -186.97
! Space group: No. 13

(3)
! NbTlFe, relaxed, DFT PBE; values from VASP
&SYSTEM
  ibrav = 0, nat = 3, ntyp = 3
/
ATOMIC_SPECIES
Fe 55.84 Fe.upf
Nb 92.91 Nb.upf
Tl 204.38 Tl.upf
CELL_PARAMETERS angstrom
0.0000 3.1841 3.1841
3.1841 0.0000 3.1841
3.1841 3.1841 0.0000
ATOMIC_POSITIONS crystal
Fe 0.2500 0.2500 0.2500
Nb 0.0000 0.0000 0.0000
Tl 0.7500 0.7500 0.7500
! E, eV/cell: -17.78
! Space group: No. 216

(4)
! Hf2ScN3, relaxed, DFT PBE; values from VASP
&SYSTEM
  ibrav = 0, nat = 6, ntyp = 3
/
ATOMIC_SPECIES
N 14.01 N.upf
Hf 178.49 Hf.upf
Sc 44.96 Sc.upf
CELL_PARAMETERS angstrom
3.1909 0.0000 0.0000
-1.5955 2.7634 0.0000
0.0000 0.0000 7.8166
ATOMIC_POSITIONS crystal
N 0.0000 0.0000 0.0000
N 0.6667 0.3333 0.6697
N 0.3333 0.6667 0.3303
Hf 0.3333 0.6667 0.8318
Hf 0.6667 0.3333 0.1682
Sc 0.0000 0.0000 0.5000
! E, eV/cell: -62.37
! Space group: No. 164

(5)
! Zn2I, relaxed, DFT PBE; values from VASP
&SYSTEM
  ibrav = 0, nat = 6, ntyp = 2
/
ATOMIC_SPECIES
Zn 65.41 Zn.upf
I 126.90 I.upf
CELL_PARAMETERS angstrom
2.6899 -4.6859 -2.1843
0.9923 -4.6350 3.3906
-2.9808 -4.9331 -0.8627
ATOMIC_POSITIONS crystal
Zn 0.1250 0.6250 0.6250
Zn 0.6250 0.6250 0.6250
Zn 0.6250 0.6250 0.1250
Zn 0.6250 0.1250 0.6250
I 0.2500 0.2500 0.2500
I 0.0000 0.0000 0.0000
! E, eV/cell: -6.59
! Space group: No. 227

(6)
! AgTe2AuSe2, relaxed, DFT PBE; values from VASP
&SYSTEM
  ibrav = 0, nat = 12, ntyp = 4
/
ATOMIC_SPECIES
Te 127.60 Te.upf
Se 78.96 Se.upf
Ag 107.87 Ag.upf
Au 196.97 Au.upf
CELL_PARAMETERS angstrom
8.8277 0.0000 0.0000
0.0000 4.4071 0.0000
-5.3257 0.0000 8.2598
ATOMIC_POSITIONS crystal
Te 0.3020 0.5970 0.5522
Te 0.3020 0.4030 0.0522
Te 0.6980 0.5970 0.9478
Te 0.6980 0.4030 0.4478
Se 0.7829 0.0505 0.2829
Se 0.7829 0.9495 0.7829
Se 0.2171 0.0505 0.2171
Se 0.2171 0.9495 0.7171
Ag 0.0000 0.5198 0.7500
Ag 0.0000 0.4802 0.2500
Au 0.5000 0.0000 0.5000
Au 0.5000 0.0000 0.0000
! E, eV/cell: -39.53
! Space group: No. 13

(7)
! BeCo2Si, relaxed, DFT PBE; values from VASP
&SYSTEM
  ibrav = 0, nat = 24, ntyp = 3
/
ATOMIC_SPECIES
Be 9.01 Be.upf
Co 58.93 Co.upf
Si 28.09 Si.upf
CELL_PARAMETERS angstrom
-2.9527 1.6654 1.6707
-2.8723 -0.6125 -4.4658
-3.5992 -10.0921 3.6991
ATOMIC_POSITIONS crystal
Be 0.5002 0.0000 0.8333
Be 0.0002 0.5000 0.6667
Be 0.4998 0.0000 0.1667
Be 0.5000 0.0000 0.5000
Be 0.9998 0.5000 0.3333
Be 0.0000 0.5000 0.0000
Co 0.0004 0.7500 0.8333
Co 0.0004 0.2500 0.8333
Co 0.0000 0.2500 0.5000
Co 0.5000 0.7500 0.0000
Co 0.4996 0.2500 0.3333
Co 0.9996 0.7500 0.1667
Co 0.5000 0.2500 0.0000
Co 0.5004 0.7500 0.6667
Co 0.4996 0.7500 0.3333
Co 0.9996 0.2500 0.1667
Co 0.0000 0.7500 0.5000
Co 0.5004 0.2500 0.6667
Si 0.4995 0.5000 0.1666
Si 0.0000 0.0000 0.0000
Si 0.5005 0.5000 0.8334
Si 0.9995 0.0000 0.3334
Si 0.5000 0.5000 0.5000
Si 0.0005 0.0000 0.6666
! E, eV/cell: -154.59
! Space group: No. 225

(8)
! ErTm2Ga3FeGe2, relaxed, DFT PBE; values from VASP
&SYSTEM
  ibrav = 0, nat = 9, ntyp = 5
/
ATOMIC_SPECIES
Tm 168.93 Tm.upf
Ge 72.64 Ge.upf
Ga 69.72 Ga.upf
Fe 55.84 Fe.upf
Er 167.26 Er.upf
CELL_PARAMETERS angstrom
-1.6273 1.1133 3.5988
6.2609 -0.2842 2.9189
-2.2367 5.8956 -2.8353
ATOMIC_POSITIONS crystal
Tm 0.0000 0.9999 0.4011
Tm 0.0000 0.4011 0.9999
Ge 0.5000 0.3327 0.6671
Ge 0.5000 0.6671 0.3327
Ga 0.5000 0.0003 0.7734
Ga 0.5000 0.7734 0.0003
Ga 0.5000 0.2267 0.2267
Fe 0.0000 0.0008 0.0008
Er 0.0000 0.5981 0.5981
! E, eV/cell: -45.89
! Space group: No. 38

(9)
! ZrCoOsPb, relaxed, DFT PBE; values from VASP
&SYSTEM
  ibrav = 0, nat = 4, ntyp = 4
/
ATOMIC_SPECIES
Zr 91.22 Zr.upf
Co 58.93 Co.upf
Os 190.23 Os.upf
Pb 207.20 Pb.upf
CELL_PARAMETERS angstrom
0.0000 3.2485 3.2485
3.2485 0.0000 3.2485
3.2485 3.2485 0.0000
ATOMIC_POSITIONS crystal
Zr 0.5000 0.5000 0.5000
Co 0.7500 0.7500 0.7500
Os 0.2500 0.2500 0.2500
Pb 0.0000 0.0000 0.0000
! E, eV/cell: -30.18
! Space group: No. 216

(10)
! ScFeCoSi, relaxed, DFT PBE; values from VASP
&SYSTEM
  ibrav = 0, nat = 4, ntyp = 4
/
ATOMIC_SPECIES
Fe 55.84 Fe.upf
Si 28.09 Si.upf
Sc 44.96 Sc.upf
Co 58.93 Co.upf
CELL_PARAMETERS angstrom
1.1469 -4.0788 0.3716
-2.4591 -3.0584 -1.6399
1.2972 -2.1648 -3.4236
ATOMIC_POSITIONS crystal
Fe 0.2500 0.2500 0.2500
Si 0.0000 0.0000 0.0000
Sc 0.7500 0.7500 0.7500
Co 0.5000 0.5000 0.5000
! E, eV/cell: -28.01
! Space group: No. 216

(11)
! LiTeAsW, relaxed, DFT PBE; values from VASP
&SYSTEM
  ibrav = 0, nat = 4, ntyp = 4
/
ATOMIC_SPECIES
Te 127.60 Te.upf
W 183.84 W.upf
Li 6.94 Li.upf
As 74.92 As.upf
CELL_PARAMETERS angstrom
-4.5999 0.2356 0.5250
-2.6460 1.6209 -3.4441
-2.7533 -2.8857 -2.3626
ATOMIC_POSITIONS crystal
Te 0.5000 0.5000 0.5000
W 0.2500 0.2500 0.2500
Li 0.7500 0.7500 0.7500
As 0.0000 0.0000 0.0000
! E, eV/cell: -21.95
! Space group: No. 216

(12)
! BaHoSb, relaxed, DFT PBE; values from VASP
&SYSTEM
  ibrav = 0, nat = 3, ntyp = 3
/
ATOMIC_SPECIES
Ho 164.93 Ho.upf
Sb 121.76 Sb.upf
Ba 137.33 Ba.upf
CELL_PARAMETERS angstrom
0.0000 3.7626 3.7626
3.7626 0.0000 3.7626
3.7626 3.7626 0.0000
ATOMIC_POSITIONS crystal
Ho 0.0000 0.0000 0.0000
Sb 0.7500 0.7500 0.7500
Ba 0.2500 0.2500 0.2500
! E, eV/cell: -10.83
! Space group: No. 216

(13)
! Rb2Nd2S3O, relaxed, DFT PBE; values from VASP
&SYSTEM
  ibrav = 0, nat = 8, ntyp = 4
/
ATOMIC_SPECIES
O 16.00 O.upf
Nd 144.24 Nd.upf
Rb 85.47 Rb.upf
S 32.06 S.upf
CELL_PARAMETERS angstrom
4.0405 0.0000 0.0000
-2.0202 3.4991 0.0000
0.0000 0.0000 15.0150
ATOMIC_POSITIONS crystal
O 0.3333 0.6667 0.0875
Nd 0.0000 0.0000 0.4957
Nd 0.0000 0.0000 0.0217
Rb 0.6667 0.3333 0.2343
Rb 0.3333 0.6667 0.7618
S 0.6667 0.3333 0.9121
S 0.6667 0.3333 0.6002
S 0.3333 0.6667 0.3866
! E, eV/cell: -44.31
! Space group: No. 156

(14)
! HfN2, relaxed, DFT PBE; values from VASP
&SYSTEM
  ibrav = 0, nat = 6, ntyp = 2
/
ATOMIC_SPECIES
N 14.01 N.upf
Hf 178.49 Hf.upf
CELL_PARAMETERS angstrom
3.2910 1.9000 5.3741
-3.2910 1.9000 5.3741
0.0000 -3.8001 5.3741
ATOMIC_POSITIONS crystal
N 0.8750 0.3750 0.3750
N 0.3750 0.3750 0.3750
N 0.3750 0.8750 0.3750
N 0.3750 0.3750 0.8750
Hf 0.5000 0.5000 0.5000
Hf 0.2500 0.2500 0.2500
! E, eV/cell: -51.86
! Space group: No. 227

(15)
! InFeCuSe3, relaxed, DFT PBE; values from VASP
&SYSTEM
  ibrav = 0, nat = 12, ntyp = 4
/
ATOMIC_SPECIES
Cu 63.55 Cu.upf
Se 78.96 Se.upf
In 114.82 In.upf
Fe 55.84 Fe.upf
CELL_PARAMETERS angstrom
-2.8943 1.7832 -1.4643
-5.3469 -1.1722 4.4627
2.3592 7.8415 4.8863
ATOMIC_POSITIONS crystal
Cu 0.4701 0.0598 0.2500
Cu 0.5299 0.9402 0.7500
Se 0.0805 0.8391 0.2500
Se 0.9195 0.1609 0.7500
Se 0.3691 0.2618 0.4540
Se 0.6309 0.7382 0.5460
Se 0.6309 0.7382 0.9540
Se 0.3691 0.2618 0.0460
In 0.7625 0.4751 0.2500
In 0.2375 0.5249 0.7500
Fe 0.0000 0.0000 0.5000
Fe 0.0000 0.0000 0.0000
! E, eV/cell: -52.30
! Space group: No. 63

(16)
! NaPrZnSe3, relaxed, DFT PBE; values from VASP
&SYSTEM
  ibrav = 0, nat = 12, ntyp = 4
/
ATOMIC_SPECIES
Na 22.99 Na.upf
Se 78.96 Se.upf
Zn 65.41 Zn.upf
Pr 140.91 Pr.upf
CELL_PARAMETERS angstrom
-3.6831 6.8886 -2.6686
1.1881 -0.8762 -3.9017
-7.2904 -6.8141 -0.6897
ATOMIC_POSITIONS crystal
Na 0.7673 0.7500 0.7443
Na 0.2327 0.2500 0.2557
Se 0.7781 0.2500 0.4608
Se 0.2219 0.7500 0.5392
Se 0.9528 0.7500 0.1589
Se 0.5548 0.2500 0.8386
Se 0.4452 0.7500 0.1614
Se 0.0472 0.2500 0.8411
Zn 0.0778 0.2500 0.6026
Zn 0.9222 0.7500 0.3974
Pr 0.3068 0.7500 0.8623
Pr 0.6932 0.2500 0.1377
! E, eV/cell: -51.03
! Space group: No. 11

(17)
! HfMgTcBi, relaxed, DFT PBE; values from VASP
&SYSTEM
  ibrav = 0, nat = 4, ntyp = 4
/
ATOMIC_SPECIES
Hf 178.49 Hf.upf
Mg 24.30 Mg.upf
Tc 98.00 Tc.upf
Bi 208.98 Bi.upf
CELL_PARAMETERS angstrom
0.0000 3.3757 3.3757
3.3757 0.0000 3.3757
3.3757 3.3757 0.0000
ATOMIC_POSITIONS crystal
Hf 0.0000 0.0000 0.0000
Mg 0.7500 0.7500 0.7500
Tc 0.2500 0.2500 0.2500
Bi 0.5000 0.5000 0.5000
! E, eV/cell: -25.43
! Space group: No. 216

(18)
! InCoBiAu, relaxed, DFT PBE; values from VASP
&SYSTEM
  ibrav = 0, nat = 4, ntyp = 4
/
ATOMIC_SPECIES
Au 196.97 Au.upf
Bi 208.98 Bi.upf
Co 58.93 Co.upf
In 114.82 In.upf
CELL_PARAMETERS angstrom
2.5624 3.1145 2.7063
-2.1438 2.3766 3.6532
1.0996 -1.1130 4.5980
ATOMIC_POSITIONS crystal
Au 0.7500 0.7500 0.7500
Bi 0.5000 0.5000 0.5000
Co 0.2500 0.2500 0.2500
In 0.0000 0.0000 0.0000
! E, eV/cell: -15.73
! Space group: No. 216

(19)
! BiPt8, relaxed, DFT PBE; values from VASP
&SYSTEM
  ibrav = 0, nat = 18, ntyp = 2
/
ATOMIC_SPECIES
Bi 208.98 Bi.upf
Pt 195.08 Pt.upf
CELL_PARAMETERS angstrom
4.3757 -1.9826 0.0000
4.3757 1.9826 0.0000
-0.0650 0.0000 30.8576
ATOMIC_POSITIONS crystal
Bi 0.9454 0.9454 0.2457
Bi 0.0546 0.0546 0.7543
Pt 0.6498 0.6498 0.5143
Pt 0.5532 0.5532 0.3081
Pt 0.7499 0.7499 0.7197
Pt 0.4468 0.4468 0.6919
Pt 0.2480 0.2480 0.5726
Pt 0.7520 0.7520 0.4274
Pt 0.4520 0.4520 0.3981
Pt 0.9493 0.9493 0.5436
Pt 0.8505 0.8505 0.3399
Pt 0.0507 0.0507 0.4564
Pt 0.2501 0.2501 0.2802
Pt 0.5481 0.5481 0.6019
Pt 0.3501 0.3501 0.4857
Pt 0.8494 0.8494 0.6313
Pt 0.1496 0.1496 0.6601
Pt 0.1506 0.1506 0.3688
! E, eV/cell: -105.43
! Space group: No. 12

(20)
! YEr2, relaxed, DFT PBE; values from VASP
&SYSTEM
  ibrav = 0, nat = 6, ntyp = 2
/
ATOMIC_SPECIES
Y 88.91 Y.upf
Er 167.26 Er.upf
CELL_PARAMETERS angstrom
0.0000 4.6024 4.6024
4.6024 0.0000 4.6024
4.6024 4.6024 0.0000
ATOMIC_POSITIONS crystal
Y 0.0000 0.0000 0.0000
Y 0.2500 0.2500 0.2500
Er 0.6250 0.6250 0.6250
Er 0.6250 0.1250 0.6250
Er 0.6250 0.6250 0.1250
Er 0.1250 0.6250 0.6250
! E, eV/cell: -29.75
! Space group: No. 227